Record 1
DFT (GGA-PBE) results for crystalline MgScCu at its relaxed geometry.

Cell and atoms, written as CIF:
```
data_MgScCu
_chemical_formula_sum 'Mg1 Sc1 Cu1'
_cell_length_a 4.5286
_cell_length_b 4.5286
_cell_length_c 4.4186
_cell_angle_alpha 89.83
_cell_angle_beta 117.17
_cell_angle_gamma 123.88
_symmetry_space_group_name_H-M 'P 1'
_symmetry_Int_Tables_number 1
loop_
_symmetry_equiv_pos_as_xyz
'x,y,z'
loop_
_atom_site_label
_atom_site_type_symbol
_atom_site_fract_x
_atom_site_fract_y
_atom_site_fract_z
Mg1 Mg 0.9411 0.9803 0.9214
Sc1 Sc 0.9466 0.4653 0.4119
Cu1 Cu 0.4456 0.2211 0.6667
```

**DOS at the Fermi energy**: 3.45 states/eV per cell
**SG**: Cm
**Calculated formation energy**: 0.019 eV per atom

=====

Record 2
DFT (GGA-PBE) results for crystalline Mg2Sc2Cu at its relaxed geometry.

Cell and atoms, written as CIF:
```
data_Mg2Sc2Cu
_chemical_formula_sum 'Mg2 Sc2 Cu1'
_cell_length_a 3.2666
_cell_length_b 3.2666
_cell_length_c 10.0692
_cell_angle_alpha 99.34
_cell_angle_beta 99.34
_cell_angle_gamma 90.00
_symmetry_space_group_name_H-M 'P 1'
_symmetry_Int_Tables_number 1
loop_
_symmetry_equiv_pos_as_xyz
'x,y,z'
loop_
_atom_site_label
_atom_site_type_symbol
_atom_site_fract_x
_atom_site_fract_y
_atom_site_fract_z
Mg1 Mg 0.8036 0.8036 0.6072
Mg2 Mg 0.1964 0.1964 0.3928
Sc1 Sc 0.5812 0.5812 0.1625
Sc2 Sc 0.4188 0.4188 0.8375
Cu1 Cu 0.0000 0.0000 0.0000
```

**Distance to the lowest polymorph of the same formula**: 0.0 meV/atom
**DOS at the Fermi energy**: 3.79 states/eV per cell
**SG**: I4/mmm
**Calculated formation energy**: -0.137 eV per atom

=====

Record 3
DFT (GGA-PBE) results for crystalline Mg3Sc4Cu at its relaxed geometry.

Cell and atoms, written as CIF:
```
data_Mg3Sc4Cu
_chemical_formula_sum 'Mg3 Sc4 Cu1'
_cell_length_a 3.3006
_cell_length_b 3.3006
_cell_length_c 16.0859
_cell_angle_alpha 90.00
_cell_angle_beta 90.00
_cell_angle_gamma 90.00
_symmetry_space_group_name_H-M 'P 1'
_symmetry_Int_Tables_number 1
loop_
_symmetry_equiv_pos_as_xyz
'x,y,z'
loop_
_atom_site_label
_atom_site_type_symbol
_atom_site_fract_x
_atom_site_fract_y
_atom_site_fract_z
Sc1 Sc 0.0000 0.0000 0.9022
Sc2 Sc 0.0000 0.0000 0.0978
Sc3 Sc 0.0000 0.0000 0.3670
Sc4 Sc 0.0000 0.0000 0.6330
Mg1 Mg 0.5000 0.5000 0.2347
Mg2 Mg 0.5000 0.5000 0.5000
Mg3 Mg 0.5000 0.5000 0.7653
Cu1 Cu 0.5000 0.5000 0.0000
```

**DOS at the Fermi energy**: 8.25 states/eV per cell
**SG**: P4/mmm
**Calculated formation energy**: -0.089 eV per atom

=====

Record 4
DFT (GGA-PBE) results for crystalline Mg2ScCu2 at its relaxed geometry.

Cell and atoms, written as CIF:
```
data_Mg2ScCu2
_chemical_formula_sum 'Mg2 Sc1 Cu2'
_cell_length_a 3.9167
_cell_length_b 3.9167
_cell_length_c 6.5994
_cell_angle_alpha 72.74
_cell_angle_beta 72.74
_cell_angle_gamma 90.00
_symmetry_space_group_name_H-M 'P 1'
_symmetry_Int_Tables_number 1
loop_
_symmetry_equiv_pos_as_xyz
'x,y,z'
loop_
_atom_site_label
_atom_site_type_symbol
_atom_site_fract_x
_atom_site_fract_y
_atom_site_fract_z
Sc1 Sc 0.0000 0.0000 0.0000
Mg1 Mg 0.7500 0.2500 0.5000
Mg2 Mg 0.2500 0.7500 0.5000
Cu1 Cu 0.4024 0.4024 0.1952
Cu2 Cu 0.5976 0.5976 0.8048
```

**Distance to the lowest polymorph of the same formula**: 50.8 meV/atom
**DOS at the Fermi energy**: 4.10 states/eV per cell
**SG**: I4/mmm
**Calculated formation energy**: -0.032 eV per atom

=====

Which value of DOS at the Fermi energy does entry 3 give?
8.25 states/eV per cell